{"formula": "Y6Pd2Rh", "functional": "PBE", "state": "relaxed", "lattice": [[-0.2483, -7.8373, 2.9844], [6.4675, 4.0456, 3.4922], [-7.1058, 4.0534, 1.8622]], "species": ["Y", "Y", "Y", "Y", "Pd", "Y", "Y", "Y", "Rh", "Y", "Rh", "Y", "Pd", "Y", "Pd", "Y", "Y", "Pd"], "frac_coords": [[0.5681, 0.7407, 0.8274], [0.8149, 0.7399, 0.5548], [0.9133, 0.7407, 0.1726], [0.1851, 0.7399, 0.9250], [0.5000, 0.6330, 0.1330], [0.2962, 0.9654, 0.6692], [0.7038, 0.3730, 0.6692], [0.7038, 0.0346, 0.3308], [0.0000, 0.5000, 0.5000], [0.1851, 0.2601, 0.4452], [0.0000, 0.0000, 0.0000], [0.4319, 0.2593, 0.1726], [0.5000, 0.3670, 0.8670], [0.8149, 0.2601, 0.0750], [0.3414, 0.0000, 0.3414], [0.2962, 0.6270, 0.3308], [0.0867, 0.2593, 0.8274], [0.6586, 0.0000, 0.6586]], "delta_e_f_ev_per_atom": -0.579}

=====

{"formula": "PPt", "functional": "PBE", "state": "relaxed", "lattice": [[-1.5567, 2.3740, 4.0950], [1.5567, -2.3740, 4.0950], [1.5567, 2.3740, -4.0950]], "species": ["P", "Pt", "Pt", "P"], "frac_coords": [[0.1231, 0.8731, 0.2500], [0.3486, 0.5986, 0.7500], [0.6514, 0.4014, 0.2500], [0.8769, 0.1269, 0.7500]], "delta_e_f_ev_per_atom": 0.068}

=====

{"formula": "DyZn2Br6", "functional": "PBE", "state": "relaxed", "lattice": [[8.2849, -0.0109, -0.0106], [2.3731, 8.9974, -0.1287], [2.3731, 0.1629, 8.9969]], "species": ["Dy", "Br", "Br", "Br", "Br", "Br", "Dy", "Br", "Zn", "Br", "Br", "Zn", "Br", "Br", "Zn", "Br", "Zn", "Br"], "frac_coords": [[0.2500, 0.0777, 0.9223], [0.8750, 0.1906, 0.0070], [0.4551, 0.3834, 0.3435], [0.9551, 0.3435, 0.3834], [0.7455, 0.6345, 0.0473], [0.6250, 0.9930, 0.8094], [0.7500, 0.9223, 0.0777], [0.5449, 0.6166, 0.6565], [0.2505, 0.5902, 0.7728], [0.3750, 0.0070, 0.1906], [0.2455, 0.0473, 0.6345], [0.7505, 0.7728, 0.5902], [0.0449, 0.6565, 0.6166], [0.2545, 0.3655, 0.9527], [0.2495, 0.2272, 0.4098], [0.1250, 0.8094, 0.9930], [0.7495, 0.4098, 0.2272], [0.7545, 0.9527, 0.3655]]}

=====

{"formula": "TbErCuNi", "functional": "PBE", "state": "relaxed", "lattice": [[4.8239, 0.0000, 0.0000], [2.4119, 4.1776, 0.0000], [2.4119, 1.3925, 3.9387]], "species": ["Tb", "Ni", "Cu", "Er"], "frac_coords": [[0.7500, 0.7500, 0.7500], [0.0000, 0.0000, 0.0000], [0.5000, 0.5000, 0.5000], [0.2500, 0.2500, 0.2500]], "delta_e_f_ev_per_atom": -0.331}

=====

| no. | total energy (eV/cell) |
| --- | --- |
| 1 | -123.5 |
| 2 | -22.6 |
| 3 | -53.6 |
| 4 | -20.4 |